No. 1
Density functional theory data (PBE) for a relaxed CaLa2Pt crystal.

Calculated values
* energy relative to the elements: -248 meV per atom
* VASP energy: -4.723 eV per atom
* relative energy among the computed polymorphs: 338 meV per atom
* space group: I4/mmm (139)

Cell: 6.237 6.237 6.237 Å, 137.43 137.43 61.77°
Fractional coordinates of all 4 atoms:
Ca 0.750 0.250 0.500
Pt 0.250 0.750 0.500
La 0.000 0.000 0.000
La 0.500 0.500 0.000

No. 2
Density functional theory data (PBE) for a relaxed TbYScZn crystal.

Calculated values
* energy relative to the elements: -12 meV per atom
* VASP energy: -4.686 eV per atom
* space group: F-43m (216)

Cell: 5.228 5.228 5.228 Å, 60.00 60.00 60.00°
Fractional coordinates of all 4 atoms:
Y 0.000 0.000 0.000
Sc 0.250 0.250 0.250
Zn 0.750 0.750 0.750
Tb 0.500 0.500 0.500

No. 3
Density functional theory data (PBE) for a relaxed ScPaTlZn crystal.

Calculated values
* energy relative to the elements: 57 meV per atom
* VASP energy: -4.810 eV per atom
* space group: F-43m (216)

Cell: 5.096 5.096 5.096 Å, 60.00 60.00 60.00°
Each line ends with the local moment (μB).
Fractional coordinates of all 4 atoms:
Sc 0.250 0.250 0.250  0.12
Tl 0.500 0.500 0.500  0.01
Pa 0.750 0.750 0.750  0.71
Zn 0.000 0.000 0.000  0.01

No. 4
Density functional theory data (PBE) for a relaxed Re2SbAu crystal.

Calculated values
* VASP energy: -7.044 eV per atom
* ΔE_f (raw): 1.030 eV per atom
* space group: Cmmm (65)

Cell: 2.829 2.829 9.909 Å, 90.00 90.00 116.19°
Fractional coordinates of all 4 atoms:
Au 0.500 0.500 0.750
Re 0.000 0.000 0.993
Re 0.000 0.000 0.507
Sb 0.500 0.500 0.250

No. 5
Density functional theory data (PBE) for a relaxed Zr4MnTc crystal.

Calculated values
* energy relative to the elements: -120 meV per atom
* VASP energy: -9.074 eV per atom
* relative energy among the computed polymorphs: 0 meV per atom
* space group: P4/mmm (123)

Cell: 3.287 3.287 10.583 Å, 90.00 90.00 90.00°
Fractional coordinates of all 6 atoms:
Zr 0.500 0.500 0.849
Zr 0.500 0.500 0.151
Zr 0.000 0.000 0.644
Zr 0.000 0.000 0.356
Mn 0.500 0.500 0.500
Tc 0.000 0.000 0.000

No. 6
Density functional theory data (PBE) for a relaxed In2NiMoBr crystal.

Calculated values
* VASP energy: -3.882 eV per atom
* ΔE_f (raw): 0.870 eV per atom
* space group: P4/mmm (123)

Cell: 5.023 4.976 5.023 Å, 90.00 90.00 90.00°
Each line ends with the local moment (μB).
Fractional coordinates of all 5 atoms:
Ni 0.000 0.000 0.000  0.09
Mo 0.500 0.500 0.500  3.73
Br 0.000 0.500 0.000  0.08
In 0.000 0.000 0.500  -0.01
In 0.500 0.000 0.000  0.01